No. 1
A plane-wave DFT calculation with PBE-GGA was carried out for a geometry-optimized BaHgO3 structure.

Its final energy is -4.4262 eV/atom.

The structure belongs to space group R-3c (No. 167, hexagonal axes); the cell edges are 6.1072, 6.1072 and 14.4675 Å and the angles 90.00°, 90.00° and 120.00°. Symmetry generates all atoms from Ba at (0.0000, 0.0000, 0.2500), Hg at (0.0000, 0.0000, 0.0000) and O at (0.0000, 0.4453, 0.2500).

***

No. 2
A plane-wave DFT calculation with PBE-GGA was carried out for a geometry-optimized SrLiHg structure.

The relative energy among the computed polymorphs is 61 meV per atom.

The structure belongs to space group I4mm (No. 107); the cell edges are 3.878, 3.878 and 10.924 Å and the angles 90.00°, 90.00° and 90.00°. Symmetry generates all atoms from Sr at (0.000, 0.000, 0.000), Li at (0.000, 0.000, 0.290) and Hg at (0.000, 0.000, 0.683).

***

No. 3
A plane-wave DFT calculation with PBE-GGA was carried out for a geometry-optimized PrErZr structure.

The relative energy among the computed polymorphs is 0 meV per atom. For the formation energy, the calculation gives 926 meV per atom.

The structure belongs to space group F-43m (No. 216); the cell edges are 7.389, 7.389 and 7.389 Å and the angles 90.00°, 90.00° and 90.00°. Symmetry generates all atoms from Pr at (0.000, 0.000, 0.000), Er at (0.250, 0.250, 0.250) and Zr at (0.000, 0.000, 0.500).

***

No. 4
A plane-wave DFT calculation with PBE-GGA was carried out for a geometry-optimized SrNiHgTe3 structure.

The relative energy among the computed polymorphs is 0 meV per atom.

The structure belongs to space group Cmcm (No. 63); the cell edges are 4.388, 12.802 and 12.263 Å and the angles 90.00°, 90.00° and 90.00°. Symmetry generates all atoms from Sr at (0.000, 0.234, 0.250), Ni at (0.000, 0.070, 0.750), Hg at (0.000, 0.500, 0.000), Te at (0.000, 0.159, 0.564) and Te at (0.000, 0.475, 0.750).